No. 1
Compound: Tb5NdTe4
Source: Alexandria via LeMat-Bulk
Functional: GGA-PBE
Structure: relaxed

a b c (Å): 4.2336 8.5710 9.4515
angles (deg): 102.64 102.94 90.00
With the nearest neighbours (Å) after each atom.
Sites, in units of the cell vectors:
Tb 0.8105 0.6450 0.6210  3 Te 3.14-3.19
Tb 0.8395 0.2062 0.6791  4 Te 3.05-3.15
Tb 0.1605 0.7938 0.3209  4 Te 3.05-3.15
Tb 0.5000 0.5000 0.0000  4 Te 2.98
Tb 0.1895 0.3550 0.3790  3 Te 3.14-3.19
Nd 0.5000 0.0000 0.0000  6 Te 3.07-3.08
Te 0.3285 0.9293 0.6571  5 Tb 3.05-3.19, 1 Nd 3.08
Te 0.9855 0.7356 0.9710  4 Tb 2.98-3.15, 2 Nd 3.07
Te 0.6715 0.0707 0.3429  5 Tb 3.05-3.19, 1 Nd 3.08
Te 0.0145 0.2644 0.0290  4 Tb 2.98-3.15, 2 Nd 3.07

Summary:
Final energy in eV/f.u.: -49.77
Formation energy from raw total energies in meV/atom: -929
SG: C2/m, No. 12


No. 2
Compound: MgBe2Cd
Source: Alexandria via LeMat-Bulk
Functional: GGA-PBE
Structure: relaxed

a b c (Å): 4.3357 4.3357 4.3357
angles (deg): 60.00 60.00 60.00
With the nearest neighbours (Å) after each atom.
Sites, in units of the cell vectors:
Be 0.2500 0.2500 0.2500  4 Cd 2.66, 4 Mg 2.66
Be 0.7500 0.7500 0.7500  4 Mg 2.66, 4 Cd 2.66
Mg 0.0000 0.0000 0.0000  8 Be 2.66
Cd 0.5000 0.5000 0.5000  8 Be 2.66

Summary:
Final energy in eV/f.u.: -8.35
E above lowest polymorph in kJ per mole of atoms: 10.75
SG: Fm-3m, No. 225
Energy of formation from the pure elements in eV/atom: 0.4022


No. 3
Compound: Mn2NiRu
Source: Alexandria via LeMat-Bulk
Functional: GGA-PBE
Structure: relaxed

a b c (Å): 4.4339 4.4339 4.4339
angles (deg): 131.72 131.68 70.70
With the nearest neighbours (Å) after each atom.
Sites, in units of the cell vectors:
Mn 0.0000 0.0000 0.0000  4 Ni 2.56, 4 Ru 2.56, 4 Mn 2.57
Mn 0.5000 0.5000 0.0000  4 Ni 2.56, 4 Ru 2.56, 4 Mn 2.57
Ni 0.7500 0.2500 0.5000  8 Mn 2.56, 4 Ru 2.57
Ru 0.2500 0.7500 0.5000  8 Mn 2.56, 4 Ni 2.57

Summary:
Final energy in eV/f.u.: -33.19
SG: I4/mmm, No. 139
Energy of formation from the pure elements in eV/atom: 0.0505


No. 4
Compound: ScHgMo
Source: Alexandria via LeMat-Bulk
Functional: GGA-PBE
Structure: relaxed

a b c (Å): 7.1546 7.0596 2.9297
angles (deg): 79.93 76.29 23.78
With the nearest neighbours (Å) after each atom.
Sites, in units of the cell vectors:
Hg 0.9969 0.9969 0.0031  4 Hg 2.93, 4 Mo 2.96-3.18, 4 Sc 3.06-3.27
Mo 0.3304 0.3304 0.6696  4 Sc 2.87-3.09, 4 Mo 2.93, 4 Hg 2.96-3.18
Sc 0.6728 0.6728 0.3272  4 Mo 2.87-3.09, 4 Sc 2.93, 2 Hg 3.06

Summary:
Final energy in eV/f.u.: -16.99
E above lowest polymorph in kJ per mole of atoms: 0.28
SG: Fmm2, No. 42
Energy of formation from the pure elements in eV/atom: 0.1580


The records above give, respectively, DOS at the Fermi energy values of 0.865, 0.225, 1.433, 0.737 states/eV/atom.